(1)
First-principles (PBE-GGA) data for Ba2Pu3IrO12 after structural relaxation, as listed in Alexandria.

ΔE_f (raw) ... -2.391 eV per atom
Electronic total energy ... -8.7913 eV per atom

abc: 7.4765 7.4765 7.4765
angles: 63.55 63.55 63.55
Closest atoms and distances in Å follow each position.
Positions (direct):
Ba 0.6699 0.6699 0.6699  6 O 2.79-3.00
Ba 0.3301 0.3301 0.3301  6 O 2.79-3.00
Pu 0.5000 0.0000 0.0000  6 O 2.02-2.15
Pu 0.0000 0.5000 0.0000  6 O 2.02-2.15
Pu 0.0000 0.0000 0.5000  6 O 2.02-2.15
Ir 0.0000 0.0000 0.0000  6 O 1.99
O 0.3284 0.3284 0.9588  2 Pu 2.15
O 0.9324 0.9324 0.3082  1 Ir 1.99, 1 Pu 2.02
O 0.3082 0.9324 0.9324  1 Ir 1.99, 1 Pu 2.02
O 0.9588 0.3284 0.3284  2 Pu 2.15
O 0.9324 0.3082 0.9324  1 Ir 1.99, 1 Pu 2.02
O 0.3284 0.9588 0.3284  2 Pu 2.15
O 0.6716 0.6716 0.0412  2 Pu 2.15
O 0.0676 0.0676 0.6918  1 Ir 1.99, 1 Pu 2.02
O 0.6918 0.0676 0.0676  1 Ir 1.99, 1 Pu 2.02
O 0.0412 0.6716 0.6716  2 Pu 2.15
O 0.0676 0.6918 0.0676  1 Ir 1.99, 1 Pu 2.02
O 0.6716 0.0412 0.6716  2 Pu 2.15


(2)
First-principles (PBE-GGA) data for Y4Al3Ni after structural relaxation, as listed in Alexandria.

ΔE_f ... -0.40 eV/atom
Electronic total energy ... -5.7624 eV per atom

abc: 3.5174 3.5174 14.5735
angles: 90.00 90.00 90.00
Closest atoms and distances in Å follow each position.
Positions (direct):
Y 0.0000 0.0000 0.8885  4 Ni 2.97, 4 Al 3.13, 1 Y 3.25
Y 0.0000 0.0000 0.1115  4 Ni 2.97, 4 Al 3.13, 1 Y 3.25
Y 0.0000 0.0000 0.3698  8 Al 3.11-3.13
Y 0.0000 0.0000 0.6302  8 Al 3.11-3.13
Ni 0.5000 0.5000 0.0000  8 Y 2.97
Al 0.5000 0.5000 0.2414  8 Y 3.11-3.13
Al 0.5000 0.5000 0.5000  8 Y 3.13
Al 0.5000 0.5000 0.7586  8 Y 3.11-3.13


(3)
First-principles (PBE-GGA) data for KIn2Ag after structural relaxation, as listed in Alexandria.

ΔE_f ... 0.13 eV/atom
Electronic total energy ... -2.2307 eV per atom

abc: 3.3109 5.8867 6.7846
angles: 58.39 90.00 90.00
Closest atoms and distances in Å follow each position.
Positions (direct):
Ag 0.0000 0.0000 0.5000  2 Ag 3.31, 4 K 3.38, 6 In 3.39-3.53
In 0.0000 0.0000 0.0000  6 In 3.31-3.38, 2 Ag 3.39, 4 K 3.53
In 0.5000 0.5000 0.0000  6 In 3.31-3.38, 2 K 3.39, 4 Ag 3.53
K 0.5000 0.5000 0.5000  2 K 3.31, 4 Ag 3.38, 6 In 3.39-3.53


(4)
First-principles (PBE-GGA) data for Li3Ga2Rh3 after structural relaxation, as listed in Alexandria.

ΔE_f ... -0.52 eV/atom
Electronic total energy ... -4.7463 eV per atom

abc: 4.1487 4.2918 6.0187
angles: 90.00 90.00 90.00
Closest atoms and distances in Å follow each position.
Positions (direct):
Li 0.5000 0.5000 0.2583  6 Rh 2.53-2.65, 2 Li 2.59
Li 0.5000 0.5000 0.7417  6 Rh 2.53-2.65, 2 Li 2.59
Li 0.0000 0.5000 0.0000  4 Li 2.59, 4 Ga 2.64
Ga 0.0000 0.0000 0.2551  6 Rh 2.54-2.60, 2 Li 2.64
Ga 0.0000 0.0000 0.7449  6 Rh 2.54-2.60, 2 Li 2.64
Rh 0.0000 0.5000 0.5000  4 Li 2.53, 4 Ga 2.60
Rh 0.5000 0.0000 0.0000  4 Ga 2.58, 4 Li 2.65
Rh 0.5000 0.0000 0.5000  4 Ga 2.54, 4 Li 2.59


(5)
First-principles (PBE-GGA) data for SmLuThCd after structural relaxation, as listed in Alexandria.

ΔE_f ... 0.03 eV/atom
Electronic total energy ... -4.3673 eV per atom

abc: 5.4877 5.4877 5.4877
angles: 60.00 60.00 60.00
Closest atoms and distances in Å follow each position.
Positions (direct):
Lu 0.5000 0.5000 0.5000  4 Th 3.36, 4 Sm 3.36
Sm 0.2500 0.2500 0.2500  4 Cd 3.36, 4 Lu 3.36
Th 0.7500 0.7500 0.7500  4 Lu 3.36, 4 Cd 3.36
Cd 0.0000 0.0000 0.0000  4 Sm 3.36, 4 Th 3.36


(6)
First-principles (PBE-GGA) data for Na2CeS2Cl2 after structural relaxation, as listed in Alexandria.

ΔE_f (raw) ... -1.631 eV per atom
Electronic total energy ... -4.5628 eV per atom

abc: 5.3278 5.3278 8.0411
angles: 109.35 109.35 90.00
Closest atoms and distances in Å follow each position.
Positions (direct):
Na 0.3780 0.3780 0.7561  1 Cl 2.69
Na 0.6220 0.6220 0.2439  1 Cl 2.69
Ce 0.0000 0.0000 0.0000  4 S 2.66, 2 Cl 2.68
S 0.0000 0.5000 0.0000  2 Ce 2.66
S 0.5000 0.0000 0.0000  2 Ce 2.66
Cl 0.1889 0.1889 0.3778  1 Ce 2.68, 1 Na 2.69
Cl 0.8111 0.8111 0.6222  1 Ce 2.68, 1 Na 2.69